An optimized crystal structure of BaVRh, computed with PBE.

Unit cell a=4.5631 b=4.5631 c=8.4142 alpha=90.00 beta=90.00 gamma=90.00
With the nearest neighbours (Å) after each atom.
Space group P4/nmm (No. 129, origin choice 2)
Inequivalent atoms, fractional coordinates:
Ba 0.2500 0.2500 0.1880  4 Rh 3.48, 5 V 3.61-3.62
V 0.2500 0.2500 0.6164  4 Rh 2.48
Rh 0.2500 0.7500 0.5000  4 V 2.48

density: 5520 kg/m³
magnetic moment: 4.68 μB/cell
calculated total energy: -6.04 eV per atom
ΔE_f: 0.094 eV per atom